The following is a GGA-PBE calculation of a geometry-optimized MnRu2Br structure, from the Alexandria database.

Properties
Uncorrected formation energy ... 0.4712 eV per atom
Space-group type ... No. 99
D(E_F) ... 2.91 states/eV/cell
Density ... 8.53 g/cm³
Energy relative to the lowest polymorph listed for this composition ... 58.6 meV/atom

a b c (Å): 2.9779 2.9779 7.3954
angles (deg): 90.00 90.00 90.00
With the nearest neighbours (Å) after each atom.
Fractional coordinates of all 4 atoms:
Br: 0.0000 0.0000 0.4943  4 Ru 2.92, 4 Mn 2.94, 4 Br 2.98
Mn: 0.5000 0.5000 0.7718  4 Ru 2.76, 4 Br 2.94, 4 Mn 2.98
Ru: 0.0000 0.0000 0.0133  4 Ru 2.60, 4 Mn 2.76
Ru: 0.5000 0.5000 0.2205  4 Ru 2.60